Density functional theory data (PBE-GGA) for a relaxed Bi3SbO crystal.

a = 5.0337 Å, b = 5.0337 Å, c = 5.0337 Å
α = 90.00°, β = 90.00°, γ = 90.00°
Last column: nearest neighbours and their distance in Å.
Fractional coordinates of all 5 atoms:
Bi 0.0000 0.0000 0.5000  2 O 2.52
Bi 0.0000 0.5000 0.0000  2 O 2.52
Bi 0.5000 0.0000 0.0000  2 O 2.52
Sb 0.5000 0.5000 0.5000  12 Bi 3.56
O 0.0000 0.0000 0.0000  6 Bi 2.52

Results
ΔE_f (raw), eV per atom: -0.07
DFT total energy, eV per atom: -4.210
Energy above the lowest structure with this stoichiometry, eV per atom: 0.000
Space group: Pm-3m